Entry 1:
# ErPaTl2, relaxed, DFT PBE
# ΔH_f (0 K) in eV/atom: 0.043
# Magnetization in μB/cell: 1.99
# VASP energy in eV/atom: -4.655
# Offset from the most stable computed form in meV per atom: 64.5
data_ErPaTl2
_cell_length_a 4.8913
_cell_length_b 4.8913
_cell_length_c 4.5025
_cell_angle_alpha 90.00
_cell_angle_beta 90.00
_cell_angle_gamma 90.00
_symmetry_space_group_name_H-M 'P 4/m m m'
_symmetry_Int_Tables_number 123
_symmetry_space_group_name_Hall '-P 4 2'
loop_
_atom_site_label
_atom_site_type_symbol
_atom_site_fract_x
_atom_site_fract_y
_atom_site_fract_z
Er1 Er 0.0000 0.0000 0.0000
Pa1 Pa 0.5000 0.5000 0.0000
Tl1 Tl 0.0000 0.5000 0.5000

Entry 2:
# LiPd3Br, relaxed, DFT PBE
# E_form (uncorrected) in eV per atom: 0.44
# Magnetization in μB/cell: 0.00
# VASP energy in eV/atom: -3.394
# Offset from the most stable computed form in meV per atom: 170.4
data_LiPd3Br
_cell_length_a 4.4261
_cell_length_b 4.4261
_cell_length_c 4.4261
_cell_angle_alpha 90.00
_cell_angle_beta 90.00
_cell_angle_gamma 90.00
_symmetry_space_group_name_H-M 'P m -3 m'
_symmetry_Int_Tables_number 221
_symmetry_space_group_name_Hall '-P 4 2 3'
loop_
_atom_site_label
_atom_site_type_symbol
_atom_site_fract_x
_atom_site_fract_y
_atom_site_fract_z
Li1 Li 0.0000 0.0000 0.0000
Pd1 Pd 0.0000 0.0000 0.5000
Br1 Br 0.5000 0.5000 0.5000

Entry 3:
# La3Pm7Pr, relaxed, DFT PBE
# ΔH_f (0 K) in eV/atom: 0.198
# Magnetization in μB/cell: 0.00
# VASP energy in eV/atom: -4.604
# Offset from the most stable computed form in meV per atom: 0.0
data_La3Pm7Pr
_cell_length_a 11.9490
_cell_length_b 10.2966
_cell_length_c 6.5407
_cell_angle_alpha 90.00
_cell_angle_beta 95.09
_cell_angle_gamma 90.00
_symmetry_space_group_name_H-M 'C 1 2/m 1'
_symmetry_Int_Tables_number 12
_symmetry_space_group_name_Hall '-C 2y'
loop_
_atom_site_label
_atom_site_type_symbol
_atom_site_fract_x
_atom_site_fract_y
_atom_site_fract_z
La1 La 0.0000 0.0000 0.0000
La2 La 0.0000 0.1756 0.5000
Pm1 Pm 0.0000 0.5000 0.5000
Pm2 Pm 0.2370 0.0000 0.7107
Pm3 Pm 0.2443 0.3273 0.7609
Pr1 Pr 0.0000 0.5000 0.0000

Entry 4:
# Sm7YIn4, relaxed, DFT PBE
# ΔH_f (0 K) in eV/atom: -0.125
# Magnetization in μB/cell: 0.00
# VASP energy in eV/atom: -4.329
data_Sm7YIn4
_cell_length_a 14.6677
_cell_length_b 5.7541
_cell_length_c 10.6759
_cell_angle_alpha 90.00
_cell_angle_beta 123.69
_cell_angle_gamma 90.00
_symmetry_space_group_name_H-M 'C 1 2/m 1'
_symmetry_Int_Tables_number 12
_symmetry_space_group_name_Hall '-C 2y'
loop_
_atom_site_label
_atom_site_type_symbol
_atom_site_fract_x
_atom_site_fract_y
_atom_site_fract_z
Sm1 Sm 0.0000 0.0000 0.0000
Sm2 Sm 0.0628 0.5000 0.3935
Sm3 Sm 0.2076 0.5000 0.8796
Sm4 Sm 0.2194 0.0000 0.6592
Y1 Y 0.0000 0.5000 0.0000
In1 In 0.0585 0.0000 0.7549
In2 In 0.1809 0.0000 0.3332

Entry 5:
# La2PmTl2Zn2, relaxed, DFT PBE
# ΔH_f (0 K) in eV/atom: -0.227
# Magnetization in μB/cell: 0.00
# VASP energy in eV/atom: -3.353
data_La2PmTl2Zn2
_cell_length_a 4.7308
_cell_length_b 4.7308
_cell_length_c 28.4883
_cell_angle_alpha 90.00
_cell_angle_beta 90.00
_cell_angle_gamma 120.00
_symmetry_space_group_name_H-M 'R -3 m'
_symmetry_Int_Tables_number 166
_symmetry_space_group_name_Hall '-R 3 2"'
loop_
_atom_site_label
_atom_site_type_symbol
_atom_site_fract_x
_atom_site_fract_y
_atom_site_fract_z
La1 La 0.0000 0.0000 0.1383
Pm1 Pm 0.0000 0.0000 0.0000
Tl1 Tl 0.0000 0.0000 0.2697
Zn1 Zn 0.0000 0.0000 0.4163

Entry 6:
# Mg4Pd3, relaxed, DFT PBE
# ΔH_f (0 K) in eV/atom: -0.636
# Magnetization in μB/cell: 0.00
# VASP energy in eV/atom: -3.773
# Offset from the most stable computed form in meV per atom: 0.0
data_Mg4Pd3
_cell_length_a 12.0396
_cell_length_b 12.0396
_cell_length_c 5.6098
_cell_angle_alpha 90.00
_cell_angle_beta 90.00
_cell_angle_gamma 120.00
_symmetry_space_group_name_H-M 'R -3'
_symmetry_Int_Tables_number 148
_symmetry_space_group_name_Hall '-R 3'
loop_
_atom_site_label
_atom_site_type_symbol
_atom_site_fract_x
_atom_site_fract_y
_atom_site_fract_z
Mg1 Mg 0.0000 0.0000 0.0000
Mg2 Mg 0.0000 0.0000 0.5000
Mg3 Mg 0.0512 0.2509 0.1756
Pd1 Pd 0.0498 0.2316 0.6805

Entry 7:
# Nd4MgCd5, relaxed, DFT PBE
# ΔH_f (0 K) in eV/atom: -0.281
# Magnetization in μB/cell: 0.08
# VASP energy in eV/atom: -2.805
data_Nd4MgCd5
_cell_length_a 3.7931
_cell_length_b 3.7931
_cell_length_c 19.0055
_cell_angle_alpha 90.00
_cell_angle_beta 90.00
_cell_angle_gamma 90.00
_symmetry_space_group_name_H-M 'P 4/m m m'
_symmetry_Int_Tables_number 123
_symmetry_space_group_name_Hall '-P 4 2'
loop_
_atom_site_label
_atom_site_type_symbol
_atom_site_fract_x
_atom_site_fract_y
_atom_site_fract_z
Nd1 Nd 0.0000 0.0000 0.1041
Nd2 Nd 0.0000 0.0000 0.3102
Mg1 Mg 0.0000 0.0000 0.5000
Cd1 Cd 0.5000 0.5000 0.0000
Cd2 Cd 0.5000 0.5000 0.2065
Cd3 Cd 0.5000 0.5000 0.4159

Entry 8:
# Sm2AlF, relaxed, DFT PBE
# E_form (uncorrected) in eV per atom: -1.26
# Magnetization in μB/cell: 0.00
# VASP energy in eV/atom: -5.027
# Offset from the most stable computed form in meV per atom: 0.0
data_Sm2AlF
_cell_length_a 3.7019
_cell_length_b 3.7019
_cell_length_c 22.6662
_cell_angle_alpha 90.00
_cell_angle_beta 90.00
_cell_angle_gamma 120.00
_symmetry_space_group_name_H-M 'R -3 m'
_symmetry_Int_Tables_number 166
_symmetry_space_group_name_Hall '-R 3 2"'
loop_
_atom_site_label
_atom_site_type_symbol
_atom_site_fract_x
_atom_site_fract_y
_atom_site_fract_z
Sm1 Sm 0.0000 0.0000 0.2360
Al1 Al 0.0000 0.0000 0.0000
F1 F 0.0000 0.0000 0.5000

Entry 9:
# ReSb2TeS, relaxed, DFT PBE
# E_form (uncorrected) in eV per atom: 1.41
# Magnetization in μB/cell: 2.78
# VASP energy in eV/atom: -4.184
# Offset from the most stable computed form in meV per atom: 695.3
data_ReSb2TeS
_cell_length_a 5.1440
_cell_length_b 5.1440
_cell_length_c 5.0555
_cell_angle_alpha 90.00
_cell_angle_beta 90.00
_cell_angle_gamma 90.00
_symmetry_space_group_name_H-M 'P 4/m m m'
_symmetry_Int_Tables_number 123
_symmetry_space_group_name_Hall '-P 4 2'
loop_
_atom_site_label
_atom_site_type_symbol
_atom_site_fract_x
_atom_site_fract_y
_atom_site_fract_z
Re1 Re 0.0000 0.0000 0.0000
Sb1 Sb 0.0000 0.5000 0.5000
Te1 Te 0.5000 0.5000 0.0000
S1 S 0.5000 0.5000 0.5000

Entry 10:
# Pm2DyEr2Tm2, relaxed, DFT PBE
# ΔH_f (0 K) in eV/atom: 0.087
# Magnetization in μB/cell: 0.00
# VASP energy in eV/atom: -4.509
data_Pm2DyEr2Tm2
_cell_length_a 11.6290
_cell_length_b 3.4942
_cell_length_c 11.7282
_cell_angle_alpha 90.00
_cell_angle_beta 109.16
_cell_angle_gamma 90.00
_symmetry_space_group_name_H-M 'C 1 2/m 1'
_symmetry_Int_Tables_number 12
_symmetry_space_group_name_Hall '-C 2y'
loop_
_atom_site_label
_atom_site_type_symbol
_atom_site_fract_x
_atom_site_fract_y
_atom_site_fract_z
Pm1 Pm 0.1713 0.0000 0.0847
Dy1 Dy 0.0000 0.5000 0.5000
Er1 Er 0.0501 0.0000 0.7693
Tm1 Tm 0.2261 0.5000 0.3640

Entry 11:
# Cr2AgPtI, relaxed, DFT PBE
# E_form (uncorrected) in eV per atom: 0.75
# Magnetization in μB/cell: 8.96
# VASP energy in eV/atom: -5.191
data_Cr2AgPtI
_cell_length_a 4.9832
_cell_length_b 4.9832
_cell_length_c 5.2035
_cell_angle_alpha 90.00
_cell_angle_beta 90.00
_cell_angle_gamma 90.00
_symmetry_space_group_name_H-M 'P 4/m m m'
_symmetry_Int_Tables_number 123
_symmetry_space_group_name_Hall '-P 4 2'
loop_
_atom_site_label
_atom_site_type_symbol
_atom_site_fract_x
_atom_site_fract_y
_atom_site_fract_z
Cr1 Cr 0.0000 0.5000 0.0000
Ag1 Ag 0.0000 0.0000 0.5000
Pt1 Pt 0.0000 0.0000 0.0000
I1 I 0.5000 0.5000 0.5000

Entry 12:
# CaZnCl2, relaxed, DFT PBE
# E_form (uncorrected) in eV per atom: -1.40
# Magnetization in μB/cell: 0.00
# VASP energy in eV/atom: -3.144
# Offset from the most stable computed form in meV per atom: 136.3
data_CaZnCl2
_cell_length_a 8.1432
_cell_length_b 8.1432
_cell_length_c 11.1191
_cell_angle_alpha 90.00
_cell_angle_beta 90.00
_cell_angle_gamma 90.00
_symmetry_space_group_name_H-M 'I -4 2 d'
_symmetry_Int_Tables_number 122
_symmetry_space_group_name_Hall 'I -4 2bw'
loop_
_atom_site_label
_atom_site_type_symbol
_atom_site_fract_x
_atom_site_fract_y
_atom_site_fract_z
Ca1 Ca 0.0000 0.0000 0.0000
Zn1 Zn 0.0000 0.0000 0.5000
Cl1 Cl 0.1105 0.2500 0.1250

Entry 13:
# Ce3Dy2YTe6, relaxed, DFT PBE
# E_form (uncorrected) in eV per atom: -1.34
# Magnetization in μB/cell: 7.11
# VASP energy in eV/atom: -5.702
data_Ce3Dy2YTe6
_cell_length_a 7.5869
_cell_length_b 13.1672
_cell_length_c 7.7763
_cell_angle_alpha 90.00
_cell_angle_beta 109.04
_cell_angle_gamma 90.00
_symmetry_space_group_name_H-M 'C 1 2/m 1'
_symmetry_Int_Tables_number 12
_symmetry_space_group_name_Hall '-C 2y'
loop_
_atom_site_label
_atom_site_type_symbol
_atom_site_fract_x
_atom_site_fract_y
_atom_site_fract_z
Ce1 Ce 0.0000 0.0000 0.0000
Ce2 Ce 0.0000 0.3337 0.0000
Dy1 Dy 0.0000 0.1666 0.5000
Y1 Y 0.0000 0.5000 0.5000
Te1 Te 0.2457 0.0000 0.7387
Te2 Te 0.2466 0.3331 0.7389

Entry 14:
# PIF3, relaxed, DFT PBE
# E_form (uncorrected) in eV per atom: -1.84
# Magnetization in μB/cell: 0.00
# VASP energy in eV/atom: -4.352
# Offset from the most stable computed form in meV per atom: 0.0
data_PIF3
_cell_length_a 4.0888
_cell_length_b 5.1418
_cell_length_c 11.0727
_cell_angle_alpha 90.04
_cell_angle_beta 90.02
_cell_angle_gamma 90.02
_symmetry_space_group_name_H-M 'P 1'
_symmetry_Int_Tables_number 1
_symmetry_space_group_name_Hall 'P 1'
loop_
_atom_site_label
_atom_site_type_symbol
_atom_site_fract_x
_atom_site_fract_y
_atom_site_fract_z
P1 P 0.0000 0.0000 0.0000
P2 P 0.5004 0.4992 0.7269
I1 I 0.2468 0.9959 0.3610
I2 I 0.7468 0.4959 0.3667
F1 F 0.2991 0.2666 0.6668
F2 F 0.2999 0.7321 0.6670
F3 F 0.3124 0.4993 0.8549
F4 F 0.7975 0.7681 0.0598
F5 F 0.7996 0.2336 0.0595
F6 F 0.8136 0.9999 0.8716

Entry 15:
# CaLaErCd, relaxed, DFT PBE
# ΔH_f (0 K) in eV/atom: -0.020
# Magnetization in μB/cell: 0.00
# VASP energy in eV/atom: -3.122
data_CaLaErCd
_cell_length_a 7.9333
_cell_length_b 7.9333
_cell_length_c 7.9333
_cell_angle_alpha 90.00
_cell_angle_beta 90.00
_cell_angle_gamma 90.00
_symmetry_space_group_name_H-M 'F -4 3 m'
_symmetry_Int_Tables_number 216
_symmetry_space_group_name_Hall 'F -4 2 3'
loop_
_atom_site_label
_atom_site_type_symbol
_atom_site_fract_x
_atom_site_fract_y
_atom_site_fract_z
Ca1 Ca 0.0000 0.0000 0.0000
La1 La 0.2500 0.2500 0.7500
Er1 Er 0.2500 0.2500 0.2500
Cd1 Cd 0.0000 0.0000 0.5000

Entry 16:
# Ce4Ge2Pb, relaxed, DFT PBE
# ΔH_f (0 K) in eV/atom: -0.405
# Magnetization in μB/cell: 7.14
# VASP energy in eV/atom: -5.645
data_Ce4Ge2Pb
_cell_length_a 4.3357
_cell_length_b 4.3357
_cell_length_c 36.5277
_cell_angle_alpha 90.00
_cell_angle_beta 90.00
_cell_angle_gamma 120.00
_symmetry_space_group_name_H-M 'R -3 m'
_symmetry_Int_Tables_number 166
_symmetry_space_group_name_Hall '-R 3 2"'
loop_
_atom_site_label
_atom_site_type_symbol
_atom_site_fract_x
_atom_site_fract_y
_atom_site_fract_z
Ce1 Ce 0.0000 0.0000 0.1112
Ce2 Ce 0.0000 0.0000 0.3120
Ge1 Ge 0.0000 0.0000 0.3991
Pb1 Pb 0.0000 0.0000 0.5000

Entry 17:
# TaNiW2, relaxed, DFT PBE
# ΔH_f (0 K) in eV/atom: 0.161
# Magnetization in μB/cell: 0.00
# VASP energy in eV/atom: -10.724
# Offset from the most stable computed form in meV per atom: 175.4
data_TaNiW2
_cell_length_a 9.2792
_cell_length_b 2.9760
_cell_length_c 4.6508
_cell_angle_alpha 90.00
_cell_angle_beta 103.91
_cell_angle_gamma 90.00
_symmetry_space_group_name_H-M 'C 1 2/m 1'
_symmetry_Int_Tables_number 12
_symmetry_space_group_name_Hall '-C 2y'
loop_
_atom_site_label
_atom_site_type_symbol
_atom_site_fract_x
_atom_site_fract_y
_atom_site_fract_z
Ta1 Ta 0.0000 0.0000 0.0000
Ni1 Ni 0.0000 0.5000 0.5000
W1 W 0.2327 0.0000 0.7303

Entry 18:
# Er4SbAuC, relaxed, DFT PBE
# E_form (uncorrected) in eV per atom: -0.69
# Magnetization in μB/cell: 0.00
# VASP energy in eV/atom: -5.673
data_Er4SbAuC
_cell_length_a 6.7583
_cell_length_b 14.9888
_cell_length_c 6.7097
_cell_angle_alpha 90.00
_cell_angle_beta 90.00
_cell_angle_gamma 90.00
_symmetry_space_group_name_H-M 'C m c m'
_symmetry_Int_Tables_number 63
_symmetry_space_group_name_Hall '-C 2c 2'
loop_
_atom_site_label
_atom_site_type_symbol
_atom_site_fract_x
_atom_site_fract_y
_atom_site_fract_z
Er1 Er 0.0000 0.0767 0.2500
Er2 Er 0.0000 0.4093 0.2500
Er3 Er 0.2500 0.2500 0.0000
Sb1 Sb 0.0000 0.3883 0.7500
Au1 Au 0.0000 0.1176 0.7500
C1 C 0.0000 0.2492 0.2500